[1]
Material: NdSmRhPb
Method: DFT, PBE
State: optimized geometry

Results
M_tot = 0.00 μB/f.u.
E_form = -0.447 eV/atom
SG = F-43m

Geometry as POSCAR:
```
NdSmRhPb
1.0
5.287 0.000 0.000
2.643 4.579 0.000
2.643 1.526 4.317
Pb Nd Rh Sm
1 1 1 1
Direct
0.500 0.500 0.500
0.250 0.250 0.250
0.000 0.000 0.000
0.750 0.750 0.750
```

***

[2]
Material: Ho2TiB2Rh5
Method: DFT, PBE
State: optimized geometry

Results
M_tot = 0.00 μB/f.u.
E_form = -0.823 eV/atom
SG = P4/mbm

Geometry as POSCAR:
```
Ho2TiB2Rh5
1.0
3.207 0.000 0.000
0.000 9.528 0.000
0.000 0.000 9.528
Rh B Ho Ti
10 4 4 2
Direct
0.500 0.430 0.281
0.500 0.500 0.000
0.500 0.070 0.781
0.500 0.570 0.719
0.500 0.281 0.570
0.500 0.719 0.430
0.500 0.781 0.930
0.500 0.000 0.500
0.500 0.930 0.219
0.500 0.219 0.070
0.000 0.121 0.621
0.000 0.879 0.379
0.000 0.379 0.121
0.000 0.621 0.879
0.000 0.675 0.175
0.000 0.825 0.675
0.000 0.325 0.825
0.000 0.175 0.325
0.000 0.000 0.000
0.000 0.500 0.500
```

***

[3]
Material: SrNdTmMg
Method: DFT, PBE
State: optimized geometry

Results
M_tot = 0.00 μB/f.u.
E_form = 0.131 eV/atom
SG = F-43m

Geometry as POSCAR:
```
SrNdTmMg
1.0
5.764 0.000 0.000
2.882 4.992 0.000
2.882 1.664 4.707
Mg Tm Sr Nd
1 1 1 1
Direct
0.000 0.000 0.000
0.500 0.500 0.500
0.750 0.750 0.750
0.250 0.250 0.250
```

***

[4]
Material: TcGeTe3
Method: DFT, PBE
State: optimized geometry

Results
M_tot = 0.00 μB/f.u.
ΔE to the lowest computed polymorph = 0.0 meV/atom
SG = Pm-3m

Geometry as POSCAR:
```
TcGeTe3
1.0
-2.875 2.415 -3.639
3.349 -1.578 -3.693
-2.803 -4.361 -0.679
Te Tc Ge
3 1 1
Direct
0.000 0.500 0.000
0.500 0.000 0.000
0.000 0.000 0.500
0.000 0.000 0.000
0.500 0.500 0.500
```

***

[5]
Material: Ba2AlTl
Method: DFT, PBE
State: optimized geometry

Results
M_tot = 0.00 μB/f.u.
ΔE to the lowest computed polymorph = 19.8 meV/atom
E_form = -0.198 eV/atom
SG = I4/mmm

Geometry as POSCAR:
```
Ba2AlTl
1.0
-3.476 0.034 -4.876
4.859 -0.525 -3.460
-1.009 -3.975 4.365
Al Ba Tl
1 2 1
Direct
0.250 0.750 0.500
0.000 0.000 0.000
0.500 0.500 0.000
0.750 0.250 0.500
```

***

[6]
Material: NaZnClF2
Method: DFT, PBE
State: optimized geometry

Results
M_tot = 0.00 μB/f.u.
SG = P4/mmm
DFT total energy = -3.68 eV/atom

Geometry as POSCAR:
```
NaZnClF2
1.0
-2.273 3.332 0.031
-1.707 -1.197 3.453
3.589 2.425 2.615
Zn F Na Cl
1 2 1 1
Direct
0.000 0.000 0.000
0.000 0.500 0.000
0.500 0.000 0.000
0.500 0.500 0.500
0.000 0.000 0.500
```

***

[7]
Material: TbCo4Sn4
Method: DFT, PBE
State: optimized geometry

Results
M_tot = 0.01 μB/f.u.
E_form = 0.051 eV/atom
SG = P4_2/n

Geometry as POSCAR:
```
TbCo4Sn4
1.0
5.155 0.000 0.000
0.000 8.322 0.000
0.000 0.000 8.322
Co Sn Tb
8 8 2
Direct
0.394 0.346 0.191
0.106 0.154 0.309
0.894 0.309 0.846
0.606 0.809 0.346
0.894 0.691 0.154
0.394 0.654 0.809
0.106 0.846 0.691
0.606 0.191 0.654
0.105 0.847 0.382
0.605 0.882 0.653
0.395 0.653 0.118
0.395 0.347 0.882
0.605 0.118 0.347
0.895 0.618 0.847
0.105 0.153 0.618
0.895 0.382 0.153
0.000 0.000 0.000
0.500 0.500 0.500
```

***

[8]
Material: Rb2ScPdRh
Method: DFT, PBE
State: optimized geometry

Results
M_tot = 0.00 μB/f.u.
E_form = 0.609 eV/atom
SG = P4/mmm

Geometry as POSCAR:
```
Rb2ScPdRh
1.0
6.342 0.000 0.000
0.000 4.752 0.000
0.000 0.000 6.342
Sc Pd Rb Rh
1 1 2 1
Direct
0.000 0.500 0.000
0.500 0.500 0.500
0.000 0.000 0.500
0.500 0.000 0.000
0.000 0.000 0.000
```

***

[9]
Material: Tb3Nd3Er
Method: DFT, PBE
State: optimized geometry

Results
M_tot = 0.00 μB/f.u.
ΔE to the lowest computed polymorph = 222.1 meV/atom
E_form = 0.244 eV/atom
SG = R-3

Geometry as POSCAR:
```
Tb3Nd3Er
1.0
-7.138 5.245 -0.518
-8.076 -3.363 -1.480
-6.198 -0.033 6.350
Nd Tb Er
6 6 2
Direct
0.705 0.182 0.937
0.295 0.818 0.063
0.818 0.063 0.295
0.063 0.295 0.818
0.182 0.937 0.705
0.937 0.705 0.182
0.724 0.569 0.065
0.276 0.431 0.935
0.935 0.276 0.431
0.431 0.935 0.276
0.569 0.065 0.724
0.065 0.724 0.569
0.652 0.652 0.652
0.348 0.348 0.348
```

***

[10]
Material: Be4TcSn
Method: DFT, PBE
State: optimized geometry

Results
M_tot = 0.00 μB/f.u.
E_form = -0.027 eV/atom
SG = F-43m

Geometry as POSCAR:
```
Be4TcSn
1.0
4.534 0.000 0.000
2.267 3.927 0.000
2.267 1.309 3.702
Be Tc Sn
4 1 1
Direct
0.629 0.629 0.629
0.629 0.114 0.629
0.629 0.629 0.114
0.114 0.629 0.629
0.000 0.000 0.000
0.250 0.250 0.250
```

***

[11]
Material: Rb2NpF6
Method: DFT, PBE
State: optimized geometry

Results
M_tot = 3.00 μB/f.u.
SG = P2_1/c
DFT total energy = -6.13 eV/atom

Geometry as POSCAR:
```
Rb2NpF6
1.0
-1.598 -2.032 -6.122
7.793 -2.482 -1.210
-0.957 -5.603 5.334
F Np Rb
12 2 4
Direct
0.853 0.795 0.580
0.707 0.466 0.290
0.242 0.358 0.037
0.147 0.205 0.420
0.293 0.534 0.710
0.258 0.858 0.463
0.207 0.034 0.790
0.647 0.295 0.920
0.793 0.966 0.210
0.742 0.142 0.537
0.758 0.642 0.963
0.353 0.705 0.080
0.500 0.500 0.000
0.000 0.000 0.500
0.856 0.462 0.685
0.144 0.538 0.315
0.644 0.962 0.815
0.356 0.038 0.185
```

***

[12]
Material: Nb2CuPd7
Method: DFT, PBE
State: optimized geometry

Results
M_tot = 0.43 μB/f.u.
E_form = 0.140 eV/atom
SG = Cmmm

Geometry as POSCAR:
```
Nb2CuPd7
1.0
-1.789 0.968 1.861
3.736 -5.137 6.262
2.378 8.348 -2.054
Nb Pd Cu
2 7 1
Direct
0.500 0.666 0.334
0.500 0.334 0.666
0.500 0.500 0.500
0.500 0.687 0.873
0.500 0.127 0.313
0.500 0.313 0.127
0.500 0.873 0.687
0.000 0.191 0.809
0.000 0.809 0.191
0.000 0.000 0.000
```